# 1
Below is a relaxed structure of TaNb2HPd, with properties calculated at the PBE-GGA level.

POSCAR file:
```
TaNb2HPd
1.0
4.0687 0.0000 0.0000
0.0000 4.0687 0.0000
0.0000 0.0000 4.3571
Ta Nb H Pd
1 2 1 1
direct
0.0000 0.0000 0.0000
0.0000 0.5000 0.5000
0.5000 0.0000 0.5000
0.0000 0.0000 0.5000
0.5000 0.5000 0.0000
```

Results
Total moment = 0.000 μB/atom
N(E_F) = 4.6 states/eV per cell
Total energy = -8.21 eV/atom
ρ = 10.9 g/cm³
Relative energy among the computed polymorphs = 0 meV/atom

# 2
Below is a relaxed structure of TbSm2HoIn2, with properties calculated at the PBE-GGA level.

POSCAR file:
```
TbSm2HoIn2
1.0
5.2452 0.0000 0.0000
0.0000 9.9175 0.0000
0.0000 0.0000 6.7733
Tb Sm Ho In
2 4 2 4
direct
0.0000 0.0376 0.0000
0.0000 0.9624 0.5000
0.0000 0.3196 0.3451
0.0000 0.6804 0.8451
0.5000 0.4622 0.0665
0.5000 0.5378 0.5665
0.5000 0.1787 0.7225
0.5000 0.8213 0.2225
0.0000 0.3509 0.8212
0.0000 0.6491 0.3212
0.5000 0.1385 0.2471
0.5000 0.8615 0.7471
```

Results
Total moment = 0.000 μB/atom
N(E_F) = 11.8 states/eV per cell
Total energy = -4.37 eV/atom
ρ = 8.1 g/cm³
E_form = -354 meV per atom

# 3
Below is a relaxed structure of KBaIr, with properties calculated at the PBE-GGA level.

POSCAR file:
```
KBaIr
1.0
3.8530 -2.2245 0.0000
3.8530 2.2245 0.0000
-0.0022 0.0000 16.5107
K Ba Ir
2 2 2
direct
0.0000 0.0000 0.0000
0.6671 0.6671 0.7612
0.3315 0.3315 0.2537
0.3316 0.3316 0.5074
0.6649 0.6649 0.3806
0.9982 0.9982 0.3805
```

Results
Total moment = 0.001 μB/atom
N(E_F) = 6.6 states/eV per cell
Total energy = -4.11 eV/atom
ρ = 4.3 g/cm³
E_form = -145 meV per atom
Relative energy among the computed polymorphs = 0 meV/atom

# 4
Below is a relaxed structure of ZrAg, with properties calculated at the PBE-GGA level.

POSCAR file:
```
ZrAg
1.0
5.6210 -1.5344 0.0000
5.6210 1.5344 0.0000
-2.5155 0.0000 4.6917
Zr Ag
2 2
direct
0.1221 0.1221 0.4417
0.8779 0.8779 0.5583
0.3691 0.3691 0.0453
0.6309 0.6309 0.9547
```

Results
Total moment = 0.000 μB/atom
N(E_F) = 3.5 states/eV per cell
Total energy = -5.70 eV/atom
ρ = 8.2 g/cm³
E_form = 4 meV per atom

Question: Look up the ρ of the fourth one.
Answer: 8.2 g/cm³